Compound: NpSb
Source: Alexandria via LeMat-Bulk
Functional: SCAN
Structure: single point on PBEsol structure

Geometry as POSCAR:
```
NpSb
1.0
-1.930 -3.584 -1.409
1.569 -2.087 -3.427
1.924 -3.822 0.500
Np Sb
1 1
direct
0.000 0.000 0.000
0.500 0.500 0.500
```

Computed properties:
* energy relative to the elements, uncorrected: 0.041 eV/atom
* Fermi-level density of states: 6.61 states/eV/atom
* SG: No. 225